# 1
Density functional theory data (PBE-GGA) for an optimized crystal structure of KLi2Hg.

Values from the calculation:
Density of states at the Fermi level, states/eV/f.u.: 1.9
E, eV/atom: -1.408
Energy of formation from the pure elements, meV/atom: -101

The structure in CIF format:
```
data_KLi2Hg
_chemical_formula_sum 'K1 Li2 Hg1'
_cell_length_a 3.833
_cell_length_b 3.724
_cell_length_c 8.054
_cell_angle_alpha 90.00
_cell_angle_beta 90.14
_cell_angle_gamma 90.00
_space_group_name_H-M_alt 'P 1 m 1'
_space_group_IT_number 6
_space_group_name_Hall 'P -2y'
loop_
_atom_site_label
_atom_site_fract_x
_atom_site_fract_y
_atom_site_fract_z
K1 0.000 0.000 0.000
Li1 0.002 0.000 0.446
Li2 0.503 0.500 0.646
Hg1 0.501 0.500 0.309
```


# 2
Density functional theory data (PBE-GGA) for an optimized crystal structure of InH3Br3.

Values from the calculation:
E, eV/atom: -2.635

The structure in CIF format:
```
data_InH3Br3
_chemical_formula_sum 'In2 H6 Br6'
_cell_length_a 5.437
_cell_length_b 8.862
_cell_length_c 10.422
_cell_angle_alpha 109.40
_cell_angle_beta 103.75
_cell_angle_gamma 99.24
_space_group_name_H-M_alt 'P -1'
_space_group_IT_number 2
_space_group_name_Hall '-P 1'
loop_
_atom_site_label
_atom_site_fract_x
_atom_site_fract_y
_atom_site_fract_z
In1 0.237 0.025 0.454
H1 0.090 0.290 0.857
H2 0.421 0.223 0.098
H3 0.478 0.182 0.370
Br1 0.084 0.652 0.240
Br2 0.336 0.149 0.937
Br3 0.409 0.673 0.675
```


# 3
Density functional theory data (PBE-GGA) for an optimized crystal structure of Ac2TmHfS6.

Values from the calculation:
Density of states at the Fermi level, states/eV/f.u.: 1.8
E, eV/atom: -6.631
Raw formation energy, eV/f.u.: -18.9

The structure in CIF format:
```
data_Ac2TmHfS6
_chemical_formula_sum 'Ac4 Tm2 Hf2 S12'
_cell_length_a 10.071
_cell_length_b 10.314
_cell_length_c 6.957
_cell_angle_alpha 90.00
_cell_angle_beta 133.53
_cell_angle_gamma 90.00
_space_group_name_H-M_alt 'C 1 m 1'
_space_group_IT_number 8
_space_group_name_Hall 'C -2y'
loop_
_atom_site_label
_atom_site_fract_x
_atom_site_fract_y
_atom_site_fract_z
Ac1 0.000 0.218 0.000
Tm1 0.424 0.000 0.503
Hf1 0.403 0.500 0.475
S1 0.091 0.500 0.007
S2 0.100 0.000 0.372
S3 0.196 0.000 0.974
S4 0.243 0.500 0.643
S5 0.407 0.255 0.479
```


# 4
Density functional theory data (PBE-GGA) for an optimized crystal structure of PaHRu2Rh.

Values from the calculation:
Density of states at the Fermi level, states/eV/f.u.: 3.6
E, eV/atom: -8.259

The structure in CIF format:
```
data_PaHRu2Rh
_chemical_formula_sum 'Pa1 H1 Ru2 Rh1'
_cell_length_a 4.113
_cell_length_b 4.113
_cell_length_c 4.037
_cell_angle_alpha 90.00
_cell_angle_beta 90.00
_cell_angle_gamma 90.00
_space_group_name_H-M_alt 'P 4/m m m'
_space_group_IT_number 123
_space_group_name_Hall '-P 4 2'
loop_
_atom_site_label
_atom_site_fract_x
_atom_site_fract_y
_atom_site_fract_z
Pa1 0.000 0.000 0.000
H1 0.500 0.500 0.500
Ru1 0.000 0.500 0.500
Rh1 0.500 0.500 0.000
```


# 5
Density functional theory data (PBE-GGA) for an optimized crystal structure of Ce2ErLu.

Values from the calculation:
Density of states at the Fermi level, states/eV/f.u.: 10.4
E, eV/atom: -5.138
Polymorph energy (0 for the lowest one), eV/atom: 0.000
Energy of formation from the pure elements, meV/atom: 100

The structure in CIF format:
```
data_Ce2ErLu
_chemical_formula_sum 'Ce2 Er1 Lu1'
_cell_length_a 4.891
_cell_length_b 4.891
_cell_length_c 4.956
_cell_angle_alpha 90.00
_cell_angle_beta 90.00
_cell_angle_gamma 90.00
_space_group_name_H-M_alt 'P 4/m m m'
_space_group_IT_number 123
_space_group_name_Hall '-P 4 2'
loop_
_atom_site_label
_atom_site_fract_x
_atom_site_fract_y
_atom_site_fract_z
Ce1 0.000 0.500 0.000
Er1 0.000 0.000 0.500
Lu1 0.500 0.500 0.500
```


# 6
Density functional theory data (PBE-GGA) for an optimized crystal structure of AcSnGe.

Values from the calculation:
Density of states at the Fermi level, states/eV/f.u.: 1.9
E, eV/atom: -4.787
Polymorph energy (0 for the lowest one), eV/atom: 0.008
Energy of formation from the pure elements, meV/atom: -545

The structure in CIF format:
```
data_AcSnGe
_chemical_formula_sum 'Ac4 Sn4 Ge4'
_cell_length_a 4.407
_cell_length_b 19.591
_cell_length_c 4.114
_cell_angle_alpha 90.00
_cell_angle_beta 90.00
_cell_angle_gamma 90.00
_space_group_name_H-M_alt 'C m c m'
_space_group_IT_number 63
_space_group_name_Hall '-C 2c 2'
loop_
_atom_site_label
_atom_site_fract_x
_atom_site_fract_y
_atom_site_fract_z
Ac1 0.000 0.098 0.250
Sn1 0.000 0.279 0.250
Ge1 0.000 0.459 0.250
```


# 7
Density functional theory data (PBE-GGA) for an optimized crystal structure of Pa2Ta2N7.

Values from the calculation:
Density of states at the Fermi level, states/eV/f.u.: 5.8
E, eV/atom: -10.216
Raw formation energy, eV/f.u.: -11.4

The structure in CIF format:
```
data_Pa2Ta2N7
_chemical_formula_sum 'Pa4 Ta4 N14'
_cell_length_a 7.121
_cell_length_b 7.582
_cell_length_c 5.149
_cell_angle_alpha 90.00
_cell_angle_beta 90.00
_cell_angle_gamma 90.00
_space_group_name_H-M_alt 'C m m m'
_space_group_IT_number 65
_space_group_name_Hall '-C 2 2'
loop_
_atom_site_label
_atom_site_fract_x
_atom_site_fract_y
_atom_site_fract_z
Pa1 0.249 0.000 0.000
Ta1 0.000 0.224 0.500
N1 0.000 0.000 0.257
N2 0.000 0.500 0.500
N3 0.250 0.250 0.251
```


# 8
Density functional theory data (PBE-GGA) for an optimized crystal structure of Nd12Tl6Si.

Values from the calculation:
Density of states at the Fermi level, states/eV/f.u.: 19.7
E, eV/atom: -4.266
Raw formation energy, eV/f.u.: -4.2

The structure in CIF format:
```
data_Nd12Tl6Si
_chemical_formula_sum 'Nd36 Tl18 Si3'
_cell_length_a 12.4480
_cell_length_b 12.4480
_cell_length_c 13.7751
_cell_angle_alpha 90.00
_cell_angle_beta 90.00
_cell_angle_gamma 120.00
_space_group_name_H-M_alt 'R -3'
_space_group_IT_number 148
_space_group_name_Hall '-R 3'
loop_
_atom_site_label
_atom_site_fract_x
_atom_site_fract_y
_atom_site_fract_z
Nd1 0.0407 0.1906 0.3639
Nd2 0.0445 0.8463 0.8937
Tl1 0.0006 0.4071 0.2325
Si1 0.0000 0.0000 0.5000
```